A relaxed structure of Ba3Pt. Source: the Alexandria database, functional PBE.

Energy of formation ... -1.4 eV per formula unit
Crystal system ... orthorhombic

Cell lengths 7.9055, 7.9055, 7.9055 Å; angles 149.64, 133.29, 56.73 degrees
Closest atoms and distances in Å follow each position.
Fractional coordinates of all 4 atoms:
1 Ba 0.3312 0.3312 0.0000  2 Pt 3.13
2 Ba 0.6688 0.6688 0.0000  2 Pt 3.13
3 Ba 0.0000 0.5000 0.5000  4 Pt 3.76, 6 Ba 3.92-4.14
4 Pt 0.5000 0.0000 0.5000  4 Ba 3.13

A relaxed structure of VGaMoPd. Source: the Alexandria database, functional PBE.

Energy of formation ... -0.6 eV per formula unit
Crystal system ... cubic

Cell lengths 4.3646, 4.3646, 4.3646 Å; angles 60.00, 60.00, 60.00 degrees
Closest atoms and distances in Å follow each position.
Fractional coordinates of all 4 atoms:
1 Mo 0.7500 0.7500 0.7500  4 Ga 2.67, 4 V 2.67
2 Ga 0.0000 0.0000 0.0000  4 Pd 2.67, 4 Mo 2.67
3 Pd 0.2500 0.2500 0.2500  4 V 2.67, 4 Ga 2.67
4 V 0.5000 0.5000 0.5000  4 Mo 2.67, 4 Pd 2.67

A relaxed structure of TaCrFe6. Source: the Alexandria database, functional PBE.

Energy of formation ... 0.1 eV per formula unit
Crystal system ... orthorhombic

Cell lengths 6.2732, 6.2732, 10.2987 Å; angles 90.00, 90.00, 109.73 degrees
Closest atoms and distances in Å follow each position.
Fractional coordinates of all 32 atoms:
1 Cr 0.2445 0.7555 0.7500  12 Fe 2.48-2.62
2 Cr 0.7555 0.2445 0.7500  12 Fe 2.48-2.62
3 Cr 0.5000 0.5000 0.5003  12 Fe 2.46-2.58
4 Cr 0.5000 0.5000 0.9997  12 Fe 2.46-2.58
5 Fe 0.2536 0.7464 0.5095  8 Fe 2.46-2.67, 2 Cr 2.48-2.53, 2 Ta 2.60-2.67
6 Fe 0.8684 0.6139 0.6300  8 Fe 2.46-2.61, 3 Cr 2.51-2.55, 1 Ta 2.65
7 Fe 0.1316 0.3861 0.6300  8 Fe 2.46-2.61, 3 Cr 2.51-2.55, 1 Ta 2.65
8 Fe 0.7464 0.2536 0.5095  8 Fe 2.46-2.67, 2 Cr 2.48-2.53, 2 Ta 2.60-2.67
9 Fe 0.3861 0.1316 0.6300  8 Fe 2.46-2.61, 3 Cr 2.51-2.55, 1 Ta 2.65
10 Fe 0.6139 0.8684 0.6300  8 Fe 2.46-2.61, 3 Cr 2.51-2.55, 1 Ta 2.65
11 Fe 0.5000 0.5000 0.2500  8 Fe 2.52, 2 Cr 2.58, 2 Ta 2.64
12 Fe 0.1388 0.3860 0.3808  1 Cr 2.46, 8 Fe 2.51-2.69, 3 Ta 2.58-2.63
13 Fe 0.3860 0.1388 0.3808  1 Cr 2.46, 8 Fe 2.51-2.69, 3 Ta 2.58-2.63
14 Fe 0.2536 0.7464 0.9905  8 Fe 2.46-2.67, 2 Cr 2.48-2.53, 2 Ta 2.60-2.67
15 Fe 0.8612 0.6140 0.1192  1 Cr 2.46, 8 Fe 2.51-2.69, 3 Ta 2.58-2.63
16 Fe 0.1388 0.3860 0.1192  1 Cr 2.46, 8 Fe 2.51-2.69, 3 Ta 2.58-2.63
17 Fe 0.7464 0.2536 0.9905  8 Fe 2.46-2.67, 2 Cr 2.48-2.53, 2 Ta 2.60-2.67
18 Fe 0.3860 0.1388 0.1192  1 Cr 2.46, 8 Fe 2.51-2.69, 3 Ta 2.58-2.63
19 Fe 0.6140 0.8612 0.1192  1 Cr 2.46, 8 Fe 2.51-2.69, 3 Ta 2.58-2.63
20 Fe 0.5000 0.5000 0.7500  8 Fe 2.50, 4 Cr 2.57-2.62
21 Fe 0.1316 0.3861 0.8700  8 Fe 2.46-2.61, 3 Cr 2.51-2.55, 1 Ta 2.65
22 Fe 0.3861 0.1316 0.8700  8 Fe 2.46-2.61, 3 Cr 2.51-2.55, 1 Ta 2.65
23 Fe 0.0000 0.0000 0.2500  4 Ta 2.49-2.56, 8 Fe 2.65
24 Fe 0.6140 0.8612 0.3808  1 Cr 2.46, 8 Fe 2.51-2.69, 3 Ta 2.58-2.63
25 Fe 0.8612 0.6140 0.3808  1 Cr 2.46, 8 Fe 2.51-2.69, 3 Ta 2.58-2.63
26 Fe 0.0000 0.0000 0.7500  2 Cr 2.51, 2 Ta 2.59, 8 Fe 2.59
27 Fe 0.6139 0.8684 0.8700  8 Fe 2.46-2.61, 3 Cr 2.51-2.55, 1 Ta 2.65
28 Fe 0.8684 0.6139 0.8700  8 Fe 2.46-2.61, 3 Cr 2.51-2.55, 1 Ta 2.65
29 Ta 0.2429 0.7571 0.2500  12 Fe 2.49-2.67
30 Ta 0.7571 0.2429 0.2500  12 Fe 2.49-2.67
31 Ta 0.0000 0.0000 0.4984  12 Fe 2.56-2.65
32 Ta 0.0000 0.0000 0.0016  12 Fe 2.56-2.65

| no. | total DFT energy (no corrections) (eV/cell) |
| --- | --- |
| 1 | -13.22 |
| 2 | -28.76 |
| 3 | -288.64 |